The following is a DFT calculation (PBE with a Hubbard U) of crystalline SrPaFe2O8 at its relaxed geometry.

Calculated values
E_tot = -84.67 eV/f.u.
Crystal system = trigonal
Total magnetization = 0.5833 μB per atom

a = 5.8309 Å, b = 5.8309 Å, c = 7.0851 Å
α = 90.00°, β = 90.00°, γ = 120.00°
Space group P-3m1 (No. 164)
Unique sites:
Sr1 0.0000 0.0000 0.0000
Pa1 0.0000 0.0000 0.5000
Fe1 0.3333 0.6667 0.2267
O1 0.1601 0.3202 0.3012
O2 0.3333 0.6667 0.9886